# 1
Entry from OQMD: a relaxed structure of Ho2ErMg (GGA-PBE).

POSCAR file:
```
Ho2ErMg
1.0
5.5272 0.0000 0.0000
0.0000 5.9772 3.5147
0.0000 -5.9772 3.5147
Ho Er Mg
4 2 2
direct
0.2500 0.0825 0.9175
0.2500 0.0872 0.4133
0.7500 0.4133 0.0872
0.7500 0.9175 0.0825
0.2500 0.5875 0.9153
0.7500 0.9153 0.5875
0.2500 0.5898 0.4132
0.7500 0.4132 0.5898
```

Calculated values
SG: No. 40
energy relative to the lowest polymorph listed for this composition: 15 meV per atom
calculated volume: 232.2 Å³/cell
crystal system: orthorhombic


# 2
Entry from OQMD: a relaxed structure of ZnAu3 (GGA-PBE).

POSCAR file:
```
ZnAu3
1.0
-2.8529 2.8529 16.9668
2.8529 -2.8529 16.9668
2.8529 2.8529 -16.9668
Zn Au
8 24
direct
0.0572 0.3072 0.7500
0.1928 0.4428 0.7500
0.3072 0.0572 0.2500
0.4428 0.1928 0.2500
0.5572 0.8072 0.7500
0.6928 0.9428 0.7500
0.8072 0.5572 0.2500
0.9428 0.6928 0.2500
0.0014 0.7500 0.7514
0.0576 0.8076 0.6151
0.0653 0.8153 0.2500
0.1847 0.9347 0.2500
0.1924 0.3076 0.2500
0.2500 0.0014 0.7514
0.2500 0.5014 0.2514
0.3076 0.5576 0.1151
0.3153 0.5653 0.7500
0.4347 0.6847 0.7500
0.4424 0.0576 0.7500
0.4986 0.2500 0.7486
0.5014 0.7500 0.2514
0.5576 0.9424 0.2500
0.5653 0.3153 0.2500
0.6847 0.4347 0.2500
0.6924 0.4424 0.8849
0.7500 0.4986 0.7486
0.7500 0.9986 0.2486
0.8076 0.6924 0.7500
0.8153 0.0653 0.7500
0.9347 0.1847 0.7500
0.9424 0.1924 0.3849
0.9986 0.2500 0.2486
```

Calculated values
SG: No. 142
calculated volume: 552.4 Å³/cell
crystal system: tetragonal
formation energy from the elements: -0.149 eV/atom


# 3
Entry from OQMD: a relaxed structure of ZnFeSiPd (GGA-PBE).

POSCAR file:
```
ZnFeSiPd
1.0
0.0000 3.0004 3.0004
3.0004 0.0000 3.0004
3.0004 3.0004 0.0000
Zn Fe Si Pd
1 1 1 1
direct
0.0000 0.0000 0.0000
0.5000 0.5000 0.5000
0.2500 0.2500 0.2500
0.7500 0.7500 0.7500
```

Calculated values
SG: No. 216
energy relative to the lowest polymorph listed for this composition: 199 meV per atom
calculated volume: 54.0 Å³/cell
crystal system: cubic


# 4
Entry from OQMD: a relaxed structure of Pr3Cd4Hg2 (GGA-PBE).

POSCAR file:
```
Pr3Cd4Hg2
1.0
8.0819 0.0000 0.0000
-4.0409 6.9991 0.0000
0.0000 0.0000 4.2276
Pr Cd Hg
3 4 2
direct
0.0000 0.4117 0.0000
0.4117 0.0000 0.0000
0.5883 0.5883 0.0000
0.0000 0.0000 0.0000
0.0000 0.7455 0.5000
0.2545 0.2545 0.5000
0.7455 0.0000 0.5000
0.3333 0.6667 0.5000
0.6667 0.3333 0.5000
```

Calculated values
SG: No. 189
calculated volume: 239.1 Å³/cell
crystal system: hexagonal
formation energy from the elements: -0.406 eV/atom


# 5
Entry from OQMD: a relaxed structure of CsRb4CuSb2 (GGA-PBE).

POSCAR file:
```
CsRb4CuSb2
1.0
3.1347 1.8098 9.7940
-3.1347 1.8098 9.7940
0.0000 -3.6196 9.7940
Cs Rb Cu Sb
1 4 1 2
direct
0.0000 0.0000 0.0000
0.1377 0.1377 0.1377
0.2822 0.2822 0.2822
0.7178 0.7178 0.7178
0.8623 0.8623 0.8623
0.5000 0.5000 0.5000
0.4142 0.4142 0.4142
0.5858 0.5858 0.5858
```

Calculated values
SG: No. 166
E: -2.4234 eV per atom
calculated volume: 333.4 Å³/cell
crystal system: trigonal


# 6
Entry from OQMD: a relaxed structure of ScAl2Hg (GGA-PBE).

POSCAR file:
```
ScAl2Hg
1.0
0.0000 3.3859 3.3859
3.3859 0.0000 3.3859
3.3859 3.3859 0.0000
Sc Al Hg
1 2 1
direct
0.0000 0.0000 0.0000
0.5000 0.5000 0.5000
0.7500 0.7500 0.7500
0.2500 0.2500 0.2500
```

Calculated values
SG: No. 216
E: -3.6135 eV per atom
calculated volume: 77.6 Å³/cell
crystal system: cubic


# 7
Entry from OQMD: a relaxed structure of YTeMo2 (GGA-PBE).

POSCAR file:
```
YTeMo2
1.0
0.0000 3.4102 3.4102
3.4102 0.0000 3.4102
3.4102 3.4102 0.0000
Y Te Mo
1 1 2
direct
0.0000 0.0000 0.0000
0.7500 0.7500 0.7500
0.2500 0.2500 0.2500
0.5000 0.5000 0.5000
```

Calculated values
SG: No. 216
E: -7.4422 eV per atom
calculated volume: 79.3 Å³/cell
crystal system: cubic


# 8
Entry from OQMD: a relaxed structure of Tb2TmIn3PdPt2 (GGA-PBE).

POSCAR file:
```
Tb2TmIn3PdPt2
1.0
3.8217 0.0000 0.0000
0.0000 6.6617 3.8656
0.0000 -6.6617 3.8656
Tb Tm In Pd Pt
2 1 3 1 2
direct
0.0000 0.2049 0.7951
0.0000 0.7951 0.2049
0.0000 0.3857 0.3857
0.5000 0.0551 0.0551
0.5000 0.5359 0.7941
0.5000 0.7941 0.5359
0.0000 0.7940 0.7940
0.5000 0.1314 0.4611
0.5000 0.4611 0.1314
```

Calculated values
SG: No. 38
E: -5.3167 eV per atom
calculated volume: 196.8 Å³/cell
crystal system: orthorhombic